Material: PaMnI6
Method: DFT, PBE
State: optimized geometry

Values from the calculation:
The magnetization comes out at 6.05 μB/f.u. For the uncorrected energy, the calculation gives -33.55 eV for the cell shown. The energy relative to the lowest polymorph listed for this composition comes out at 0.43 kcal/mol of atoms.

POSCAR file:
```
PaMnI6
1.0
7.529 0.010 0.008
3.756 6.525 0.013
3.754 2.170 6.810
Pa Mn I
1 1 6
Cartesian
0.000 0.000 0.000 Pa
7.520 4.352 3.416 Mn
5.127 4.258 5.067 I
8.793 2.325 5.069 I
6.406 2.238 1.756 I
6.247 6.379 1.762 I
9.913 4.446 1.764 I
8.633 6.466 5.075 I
```